No. 1
BaInAs2Br | GGA-PBE | optimized geometry

Properties
uncorrected formation energy	233	meV/atom
volume	254.0	Å³ per cell
DOS at the Fermi energy	3.2	states/eV/f.u.
space-group type	No. 123
energy above the lowest structure with this stoichiometry	678.6	meV per atom

```
BaInAs2Br
1.0
6.411 0.000 0.000
0.000 6.411 0.000
0.000 0.000 6.178
Ba In As Br
1 1 2 1
Direct
0.000 0.000 0.000 Ba
0.500 0.500 0.500 In
0.000 0.500 0.000 As
0.500 0.000 0.000 As
0.000 0.000 0.500 Br
```

***

No. 2
MgZn2Ni | GGA-PBE | optimized geometry

Properties
volume	58.4	Å³ per cell
DOS at the Fermi energy	1.5	states/eV/f.u.
space-group type	No. 10
energy relative to the elements	-104	meV/atom

```
MgZn2Ni
1.0
2.767 0.000 0.000
0.000 4.268 0.000
-1.011 0.000 4.947
Mg Zn Ni
1 2 1
Direct
0.000 0.000 0.000 Mg
0.325 0.500 0.727 Zn
0.675 0.500 0.273 Zn
0.500 0.000 0.500 Ni
```

***

No. 3
Cs5Ce2F12 | GGA-PBE | optimized geometry

Properties
uncorrected formation energy	-3316	meV/atom
volume	427.4	Å³ per cell
DOS at the Fermi energy	6.0	states/eV/f.u.
space-group type	No. 12

```
Cs5Ce2F12
1.0
7.305 -4.176 0.000
7.305 4.176 0.000
-2.397 0.000 7.004
Cs Ce F
5 2 12
Direct
0.000 0.000 0.000 Cs
0.246 0.246 0.390 Cs
0.327 0.327 0.936 Cs
0.673 0.673 0.064 Cs
0.754 0.754 0.610 Cs
0.249 0.751 0.500 Ce
0.751 0.249 0.500 Ce
0.057 0.057 0.407 F
0.074 0.676 0.226 F
0.190 0.595 0.663 F
0.324 0.926 0.774 F
0.405 0.810 0.337 F
0.435 0.435 0.341 F
0.565 0.565 0.659 F
0.595 0.190 0.663 F
0.676 0.074 0.226 F
0.810 0.405 0.337 F
0.926 0.324 0.774 F
0.943 0.943 0.593 F
```

***

No. 4
GaAgSbOsPt | GGA-PBE | optimized geometry

Properties
uncorrected formation energy	112	meV/atom
volume	183.2	Å³ per cell
DOS at the Fermi energy	1.7	states/eV/f.u.
space-group type	No. 8
energy above the lowest structure with this stoichiometry	178.3	meV per atom

```
GaAgSbOsPt
1.0
7.834 0.000 0.000
0.000 4.415 0.000
-3.720 0.000 5.296
Ga Ag Sb Os Pt
2 2 2 2 2
Direct
0.000 0.000 0.000 Ga
0.500 0.500 0.000 Ga
0.472 0.000 0.276 Ag
0.972 0.500 0.276 Ag
0.296 0.000 0.603 Sb
0.796 0.500 0.603 Sb
0.450 0.500 0.566 Os
0.950 0.000 0.566 Os
0.188 0.500 0.034 Pt
0.688 0.000 0.034 Pt
```